No. 1
# Ti2Ni2Se meta-GGA SCAN PBEsol geometry
data_Ti2Ni2Se
_chemical_formula_sum 'Ti4 Ni4 Se2'
_cell_length_a 4.034
_cell_length_b 4.034
_cell_length_c 9.550
_cell_angle_alpha 90.00
_cell_angle_beta 90.00
_cell_angle_gamma 90.00
_symmetry_space_group_name_H-M 'I 4/m m m'
_symmetry_Int_Tables_number 139
_symmetry_space_group_name_Hall '-I 4 2'
loop_
_atom_site_label
_atom_site_type_symbol
_atom_site_fract_x
_atom_site_fract_y
_atom_site_fract_z
_atom_site_occupancy
Ti1 Ti 0.000 0.500 0.250 1
Ni1 Ni 0.000 0.000 0.115 1
Se1 Se 0.000 0.000 0.500 1
# E_form (uncorrected) (meV/atom): -68
# DOS at the Fermi energy (states/eV per cell): 7.20

***

No. 2
# Mg2BeNi meta-GGA SCAN PBEsol geometry
data_Mg2BeNi
_chemical_formula_sum 'Mg6 Be3 Ni3'
_cell_length_a 2.8802
_cell_length_b 2.8802
_cell_length_c 24.9861
_cell_angle_alpha 90.00
_cell_angle_beta 90.00
_cell_angle_gamma 120.00
_symmetry_space_group_name_H-M 'R 3 m'
_symmetry_Int_Tables_number 160
_symmetry_space_group_name_Hall 'R 3 -2"'
loop_
_atom_site_label
_atom_site_type_symbol
_atom_site_fract_x
_atom_site_fract_y
_atom_site_fract_z
_atom_site_occupancy
Mg1 Mg 0.0000 0.0000 0.0000 1
Mg2 Mg 0.0000 0.0000 0.2232 1
Be1 Be 0.0000 0.0000 0.7528 1
Ni1 Ni 0.0000 0.0000 0.4756 1
# DFT formation energy (meV/atom): 178
# DOS at the Fermi energy (states/eV per cell): 4.80

***

No. 3
# AlP3H6O12 meta-GGA SCAN PBEsol geometry
data_AlP3H6O12
_chemical_formula_sum 'Al2 P6 H12 O24'
_cell_length_a 7.690
_cell_length_b 4.851
_cell_length_c 11.792
_cell_angle_alpha 90.00
_cell_angle_beta 96.53
_cell_angle_gamma 90.00
_symmetry_space_group_name_H-M 'P 1 2/c 1'
_symmetry_Int_Tables_number 13
_symmetry_space_group_name_Hall '-P 2yc'
loop_
_atom_site_label
_atom_site_type_symbol
_atom_site_fract_x
_atom_site_fract_y
_atom_site_fract_z
_atom_site_occupancy
Al1 Al 0.000 0.000 0.000 1
P1 P 0.000 0.238 0.250 1
P2 P 0.228 0.496 0.596 1
H1 H 0.294 0.072 0.869 1
H2 H 0.481 0.072 0.367 1
H3 H 0.498 0.342 0.868 1
O1 O 0.075 0.077 0.354 1
O2 O 0.146 0.306 0.007 1
O3 O 0.151 0.435 0.217 1
O4 O 0.191 0.196 0.572 1
O5 O 0.416 0.102 0.853 1
O6 O 0.427 0.459 0.123 1
# DFT total energy (eV per cell): -357.022
# DOS at the Fermi energy (states/eV per cell): 0.00

***

No. 4
# Y2TlSb meta-GGA SCAN PBEsol geometry
data_Y2TlSb
_chemical_formula_sum 'Y6 Tl3 Sb3'
_cell_length_a 4.1170
_cell_length_b 4.1170
_cell_length_c 23.5487
_cell_angle_alpha 90.00
_cell_angle_beta 90.00
_cell_angle_gamma 120.00
_symmetry_space_group_name_H-M 'R -3 m'
_symmetry_Int_Tables_number 166
_symmetry_space_group_name_Hall '-R 3 2"'
loop_
_atom_site_label
_atom_site_type_symbol
_atom_site_fract_x
_atom_site_fract_y
_atom_site_fract_z
_atom_site_occupancy
Y1 Y 0.0000 0.0000 0.2442 1
Tl1 Tl 0.0000 0.0000 0.0000 1
Sb1 Sb 0.0000 0.0000 0.5000 1
# ΔE to the lowest computed polymorph (kJ per mole of atoms): 2.2
# E_form (uncorrected) (meV/atom): -855
# DOS at the Fermi energy (states/eV per cell): 4.93

***

No. 5
# BaYPd2 meta-GGA SCAN PBEsol geometry
data_BaYPd2
_chemical_formula_sum 'Ba4 Y4 Pd8'
_cell_length_a 7.251
_cell_length_b 7.251
_cell_length_c 7.251
_cell_angle_alpha 90.00
_cell_angle_beta 90.00
_cell_angle_gamma 90.00
_symmetry_space_group_name_H-M 'F m -3 m'
_symmetry_Int_Tables_number 225
_symmetry_space_group_name_Hall '-F 4 2 3'
loop_
_atom_site_label
_atom_site_type_symbol
_atom_site_fract_x
_atom_site_fract_y
_atom_site_fract_z
_atom_site_occupancy
Ba1 Ba 0.000 0.000 0.000 1
Y1 Y 0.000 0.000 0.500 1
Pd1 Pd 0.250 0.250 0.250 1
# DFT formation energy (meV/atom): -537
# DOS at the Fermi energy (states/eV per cell): 7.72

***

No. 6
# Li2SbTe meta-GGA SCAN PBEsol geometry
data_Li2SbTe
_chemical_formula_sum 'Li4 Sb2 Te2'
_cell_length_a 11.790
_cell_length_b 3.212
_cell_length_c 4.863
_cell_angle_alpha 90.00
_cell_angle_beta 108.88
_cell_angle_gamma 90.00
_symmetry_space_group_name_H-M 'C 1 m 1'
_symmetry_Int_Tables_number 8
_symmetry_space_group_name_Hall 'C -2y'
loop_
_atom_site_label
_atom_site_type_symbol
_atom_site_fract_x
_atom_site_fract_y
_atom_site_fract_z
_atom_site_occupancy
Li1 Li 0.000 0.000 0.000 1
Li2 Li 0.249 0.500 0.485 1
Sb1 Sb 0.260 0.000 0.000 1
Te1 Te 0.006 0.500 0.500 1
# ΔE to the lowest computed polymorph (kJ per mole of atoms): 0.0
# E_form (uncorrected) (meV/atom): -542
# DOS at the Fermi energy (states/eV per cell): 1.37

***

No. 7
# CaTa meta-GGA SCAN PBEsol geometry
data_CaTa
_chemical_formula_sum 'Ca1 Ta1'
_cell_length_a 2.867
_cell_length_b 2.867
_cell_length_c 5.370
_cell_angle_alpha 90.00
_cell_angle_beta 90.00
_cell_angle_gamma 90.00
_symmetry_space_group_name_H-M 'P 4/m m m'
_symmetry_Int_Tables_number 123
_symmetry_space_group_name_Hall '-P 4 2'
loop_
_atom_site_label
_atom_site_type_symbol
_atom_site_fract_x
_atom_site_fract_y
_atom_site_fract_z
_atom_site_occupancy
Ca1 Ca 0.000 0.000 0.000 1
Ta1 Ta 0.500 0.500 0.500 1
# ΔE to the lowest computed polymorph (kJ per mole of atoms): 0.0
# DFT formation energy (meV/atom): 895
# DOS at the Fermi energy (states/eV per cell): 2.53

***

No. 8
# CuAsPb2 meta-GGA SCAN PBEsol geometry
data_CuAsPb2
_chemical_formula_sum 'Cu1 As1 Pb2'
_cell_length_a 4.829
_cell_length_b 4.829
_cell_length_c 3.847
_cell_angle_alpha 90.00
_cell_angle_beta 90.00
_cell_angle_gamma 90.00
_symmetry_space_group_name_H-M 'P 4/m m m'
_symmetry_Int_Tables_number 123
_symmetry_space_group_name_Hall '-P 4 2'
loop_
_atom_site_label
_atom_site_type_symbol
_atom_site_fract_x
_atom_site_fract_y
_atom_site_fract_z
_atom_site_occupancy
Cu1 Cu 0.000 0.000 0.000 1
As1 As 0.500 0.500 0.000 1
Pb1 Pb 0.000 0.500 0.500 1
# DFT formation energy (meV/atom): 364
# DOS at the Fermi energy (states/eV per cell): 1.57

***

No. 9
# SrCa2W meta-GGA SCAN PBEsol geometry
data_SrCa2W
_chemical_formula_sum 'Sr1 Ca2 W1'
_cell_length_a 3.200
_cell_length_b 3.200
_cell_length_c 11.344
_cell_angle_alpha 90.00
_cell_angle_beta 90.00
_cell_angle_gamma 90.00
_symmetry_space_group_name_H-M 'P 4 m m'
_symmetry_Int_Tables_number 99
_symmetry_space_group_name_Hall 'P 4 -2'
loop_
_atom_site_label
_atom_site_type_symbol
_atom_site_fract_x
_atom_site_fract_y
_atom_site_fract_z
_atom_site_occupancy
Sr1 Sr 0.000 0.000 0.000 1
Ca1 Ca 0.000 0.000 0.403 1
Ca2 Ca 0.500 0.500 0.694 1
W1 W 0.500 0.500 0.210 1
# ΔE to the lowest computed polymorph (kJ per mole of atoms): 2.5
# DFT formation energy (meV/atom): 946
# DOS at the Fermi energy (states/eV per cell): 3.60

***

No. 10
# CaMoRh2 meta-GGA SCAN PBEsol geometry
data_CaMoRh2
_chemical_formula_sum 'Ca1 Mo1 Rh2'
_cell_length_a 2.935
_cell_length_b 2.935
_cell_length_c 7.632
_cell_angle_alpha 90.00
_cell_angle_beta 90.00
_cell_angle_gamma 90.00
_symmetry_space_group_name_H-M 'P 4/m m m'
_symmetry_Int_Tables_number 123
_symmetry_space_group_name_Hall '-P 4 2'
loop_
_atom_site_label
_atom_site_type_symbol
_atom_site_fract_x
_atom_site_fract_y
_atom_site_fract_z
_atom_site_occupancy
Ca1 Ca 0.000 0.000 0.000 1
Mo1 Mo 0.000 0.000 0.500 1
Rh1 Rh 0.500 0.500 0.286 1
# ΔE to the lowest computed polymorph (kJ per mole of atoms): 0.0
# DFT formation energy (meV/atom): -145
# DOS at the Fermi energy (states/eV per cell): 3.53

***

No. 11
# MgZrAg2 meta-GGA SCAN PBEsol geometry
data_MgZrAg2
_chemical_formula_sum 'Mg4 Zr4 Ag8'
_cell_length_a 6.606
_cell_length_b 6.606
_cell_length_c 6.606
_cell_angle_alpha 90.00
_cell_angle_beta 90.00
_cell_angle_gamma 90.00
_symmetry_space_group_name_H-M 'F -4 3 m'
_symmetry_Int_Tables_number 216
_symmetry_space_group_name_Hall 'F -4 2 3'
loop_
_atom_site_label
_atom_site_type_symbol
_atom_site_fract_x
_atom_site_fract_y
_atom_site_fract_z
_atom_site_occupancy
Mg1 Mg 0.000 0.000 0.000 1
Zr1 Zr 0.250 0.250 0.250 1
Ag1 Ag 0.000 0.000 0.500 1
Ag2 Ag 0.250 0.250 0.750 1
# DFT formation energy (meV/atom): -48
# DOS at the Fermi energy (states/eV per cell): 4.97

***

No. 12
# LiTiRhO4 meta-GGA SCAN PBEsol geometry
data_LiTiRhO4
_chemical_formula_sum 'Li4 Ti4 Rh4 O16'
_cell_length_a 5.904
_cell_length_b 6.129
_cell_length_c 8.038
_cell_angle_alpha 90.00
_cell_angle_beta 90.00
_cell_angle_gamma 90.00
_symmetry_space_group_name_H-M 'I m m a'
_symmetry_Int_Tables_number 74
_symmetry_space_group_name_Hall '-I 2b 2'
loop_
_atom_site_label
_atom_site_type_symbol
_atom_site_fract_x
_atom_site_fract_y
_atom_site_fract_z
_atom_site_occupancy
Li1 Li 0.000 0.250 0.133 1
Ti1 Ti 0.250 0.250 0.750 1
Rh1 Rh 0.000 0.000 0.500 1
O1 O 0.000 0.035 0.753 1
O2 O 0.226 0.250 0.505 1
# E_form (uncorrected) (meV/atom): -2302
# DOS at the Fermi energy (states/eV per cell): 0.00

***

> What is the DOS at the Fermi energy in the ninth record?

3.60 states/eV per cell